## 1
! CaCr3Te, relaxed, DFT GGA-PBE; values from VASP
&SYSTEM
  ibrav = 0, nat = 5, ntyp = 3
/
ATOMIC_SPECIES
Cr 52.00 Cr.upf
Te 127.60 Te.upf
Ca 40.08 Ca.upf
CELL_PARAMETERS angstrom
-2.122 2.636 3.932
-4.724 -0.898 -1.948
-0.309 -4.377 2.768
ATOMIC_POSITIONS angstrom
Cr -1.061 1.318 1.966
Cr -2.362 -0.449 -0.974
Cr -0.155 -2.188 1.384
Te -3.578 -1.319 2.376
Ca 0.000 0.000 0.000
! spin magnetization: 13.93 μB per cell
! calculated volume: 27.92 Å³ per atom

---

## 2
! CaCr3Te, relaxed, DFT GGA-PBE; values from VASP
&SYSTEM
  ibrav = 0, nat = 5, ntyp = 3
/
ATOMIC_SPECIES
Cr 52.00 Cr.upf
Ca 40.08 Ca.upf
Te 127.60 Te.upf
CELL_PARAMETERS angstrom
-0.964 4.329 -2.700
-2.756 1.870 3.983
4.293 2.173 1.951
ATOMIC_POSITIONS angstrom
Cr -0.482 2.164 -1.350
Cr -1.378 0.935 1.991
Cr 2.147 1.086 0.975
Ca 0.286 4.186 1.617
Te 0.000 0.000 0.000
! spin magnetization: 12.16 μB per cell
! calculated volume: 27.99 Å³ per atom

---

Energetically preferred structure: 2 | next structure: +969 meV per atom

---

## 1
! Ca2CrTe2, relaxed, DFT GGA-PBE; values from VASP
&SYSTEM
  ibrav = 0, nat = 10, ntyp = 3
/
ATOMIC_SPECIES
Te 127.60 Te.upf
Ca 40.08 Ca.upf
Cr 52.00 Cr.upf
CELL_PARAMETERS angstrom
8.605 0.000 0.000
0.000 8.605 0.000
0.000 0.000 4.056
ATOMIC_POSITIONS angstrom
Te 7.225 2.923 2.028
Te 2.923 1.380 2.028
Te 1.380 5.682 2.028
Te 5.682 7.225 2.028
Ca 5.542 1.240 0.000
Ca 1.240 3.062 0.000
Ca 3.062 7.365 0.000
Ca 7.365 5.542 0.000
Cr 0.000 0.000 0.000
Cr 4.302 4.302 0.000
! spin magnetization: 11.81 μB per cell
! calculated volume: 30.03 Å³ per atom

---

## 2
! Ca2CrTe2, relaxed, DFT GGA-PBE; values from VASP
&SYSTEM
  ibrav = 0, nat = 5, ntyp = 3
/
ATOMIC_SPECIES
Cr 52.00 Cr.upf
Te 127.60 Te.upf
Ca 40.08 Ca.upf
CELL_PARAMETERS angstrom
-1.122 4.232 1.307
-4.189 -1.452 1.106
-0.096 -0.258 8.740
ATOMIC_POSITIONS angstrom
Cr 0.000 0.000 0.000
Te -3.471 -0.160 5.526
Te -1.937 2.682 5.627
Ca -2.093 1.028 2.862
Ca -3.314 1.494 8.291
! spin magnetization: 5.08 μB per cell
! calculated volume: 33.93 Å³ per atom

---

Energetically preferred structure: 1 | next structure: +488 meV per atom